# 1
Compound: KNaCd2Pd
Source: the Alexandria database
Functional: PBE-GGA
Structure: relaxed

extended XYZ file:
```
5
Lattice="5.314 0.000 0.000 0.000 5.314 0.000 0.000 0.000 5.887" Properties=species:S:1:pos:R:3 pbc="T T T"
K 0.000 0.000 0.000
Na 2.657 2.657 0.000
Cd 0.000 2.657 2.943
Cd 2.657 0.000 2.943
Pd 0.000 0.000 2.943
```

D(E_F) = 2.82 states/eV/f.u.
Energy of formation = -30 meV/atom
Uncorrected energy = -1.92 eV per atom
Space group = P4/mmm (123)

=====

# 2
Compound: KNa2CdPt
Source: the Alexandria database
Functional: PBE-GGA
Structure: relaxed

extended XYZ file:
```
5
Lattice="5.533 0.000 0.000 0.000 5.533 0.000 0.000 0.000 5.348" Properties=species:S:1:pos:R:3 pbc="T T T"
K 0.000 0.000 0.000
Na 0.000 2.767 2.674
Na 2.767 0.000 2.674
Cd 2.767 2.767 0.000
Pt 2.767 2.767 2.674
```

D(E_F) = 3.04 states/eV/f.u.
Energy of formation = -101 meV/atom
Uncorrected energy = -2.24 eV per atom
Space group = P4/mmm (123)

=====

# 3
Compound: K2NaCd12Pt3
Source: the Alexandria database
Functional: PBE-GGA
Structure: relaxed

extended XYZ file:
```
18
Lattice="4.917 2.839 6.978 -4.917 2.839 6.978 0.000 -5.677 6.978" Properties=species:S:1:pos:R:3 pbc="T T T"
K 0.000 0.000 2.064
K 0.000 0.000 18.872
Na 0.000 0.000 10.468
Cd -2.550 -1.472 9.664
Cd 0.000 -2.412 6.943
Cd -2.089 1.206 6.943
Cd 0.000 -2.945 11.271
Cd -2.550 1.472 11.271
Cd -2.089 -1.206 13.992
Cd 2.089 1.206 6.943
Cd 2.550 -1.472 9.664
Cd 0.000 2.945 9.664
Cd 2.089 -1.206 13.992
Cd 0.000 2.412 13.992
Cd 2.550 1.472 11.271
Pt -2.458 -1.419 6.978
Pt -2.458 1.419 13.957
Pt 0.000 2.839 6.978
```

D(E_F) = 4.78 states/eV/f.u.
Energy of formation = 8 meV/atom
Uncorrected energy = -1.80 eV per atom
Space group = R-3m (166)

=====

# 4
Compound: K2RbNaCd
Source: the Alexandria database
Functional: PBE-GGA
Structure: relaxed

extended XYZ file:
```
5
Lattice="6.909 0.000 0.000 0.000 6.909 0.000 0.000 0.000 6.299" Properties=species:S:1:pos:R:3 pbc="T T T"
K 0.000 3.455 0.000
K 3.455 0.000 0.000
Rb 0.000 0.000 3.150
Na 3.455 3.455 3.150
Cd 3.455 3.455 0.000
```

D(E_F) = 4.19 states/eV/f.u.
Energy of formation = 40 meV/atom
Uncorrected energy = -1.04 eV per atom
Space group = P4/mmm (123)

=====

# 5
Compound: K5Rb2NaCd2
Source: the Alexandria database
Functional: PBE-GGA
Structure: relaxed

extended XYZ file:
```
20
Lattice="14.735 0.000 0.000 0.000 14.735 0.000 0.000 0.000 5.308" Properties=species:S:1:pos:R:3 pbc="T T T"
K 0.000 7.368 0.000
K 1.021 3.052 0.000
K 3.052 13.715 0.000
K 4.316 6.347 0.000
K 6.347 10.419 0.000
K 7.368 0.000 0.000
K 8.388 4.316 0.000
K 10.419 8.388 0.000
K 11.684 1.021 0.000
K 13.715 11.684 0.000
Rb 2.538 9.905 2.654
Rb 4.830 2.538 2.654
Rb 9.905 12.198 2.654
Rb 12.198 4.830 2.654
Na 0.000 0.000 2.654
Na 7.368 7.368 2.654
Cd 1.850 5.518 2.654
Cd 5.518 12.886 2.654
Cd 9.217 1.850 2.654
Cd 12.886 9.217 2.654
```

D(E_F) = 8.13 states/eV/f.u.
Energy of formation = 5 meV/atom
Uncorrected energy = -1.05 eV per atom
Space group = P4/mbm (127)

=====

# 6
Compound: K8Rb2NaCd
Source: the Alexandria database
Functional: PBE-GGA
Structure: relaxed

extended XYZ file:
```
12
Lattice="8.375 0.000 0.000 -2.680 8.879 0.000 -2.766 -3.170 10.658" Properties=species:S:1:pos:R:3 pbc="T T T"
K -0.720 1.132 2.253
K -1.908 5.384 2.272
K 0.503 1.512 6.728
K -0.662 5.742 6.679
K 3.591 -0.034 3.978
K 2.425 4.196 3.929
K 4.837 0.325 8.386
K 3.648 4.576 8.405
Rb 0.677 -0.974 10.564
Rb 2.251 6.682 0.094
Na -1.383 -1.585 5.329
Cd -2.723 2.854 5.329
```

D(E_F) = 8.90 states/eV/f.u.
Energy of formation = 13 meV/atom
Uncorrected energy = -1.07 eV per atom
Space group = P-1 (2)

=====

# 7
Compound: KRbNaCd2
Source: the Alexandria database
Functional: PBE-GGA
Structure: relaxed

extended XYZ file:
```
5
Lattice="-2.134 2.916 8.433 2.134 -2.916 8.433 2.134 2.916 -8.433" Properties=species:S:1:pos:R:3 pbc="T T T"
K 0.000 0.000 0.000
Rb 0.000 2.916 4.003
Na 2.134 0.000 6.199
Cd 2.134 0.000 2.791
Cd 0.000 0.000 9.297
```

D(E_F) = 2.99 states/eV/f.u.
Energy of formation = 13 meV/atom
Uncorrected energy = -1.03 eV per atom
Space group = Imm2 (44)

=====

# 8
Compound: K2RbNaCd
Source: the Alexandria database
Functional: PBE-GGA
Structure: relaxed

extended XYZ file:
```
5
Lattice="7.008 0.000 0.000 0.000 7.008 0.000 0.000 0.000 6.074" Properties=species:S:1:pos:R:3 pbc="T T T"
K 0.000 3.504 0.000
K 3.504 0.000 0.000
Rb 0.000 0.000 3.037
Na 3.504 3.504 0.000
Cd 3.504 3.504 3.037
```

D(E_F) = 4.02 states/eV/f.u.
Energy of formation = 114 meV/atom
Uncorrected energy = -0.97 eV per atom
Space group = P4/mmm (123)